Record 1
First-principles (PBE-GGA) data for a relaxed Nb2RuO crystal, as listed in Alexandria.

The space group is I-42d (No. 122) and the conventional cell measures 5.176, 5.176 and 10.545 Å, with angles of 90.00, 90.00 and 90.00 degrees. The asymmetric unit holds Nb at (0.176, 0.250, 0.125), Ru at (0.000, 0.000, 0.500) and O at (0.000, 0.000, 0.000).

As for the raw total energy: -9.10 eV/atom. The value obtained for the density of states at the Fermi level is 0.56 states/eV/atom.



Record 2
First-principles (PBE-GGA) data for a relaxed GdPuThSn crystal, as listed in Alexandria.

The space group is F-43m (No. 216) and the conventional cell measures 7.653, 7.653 and 7.653 Å, with angles of 90.00, 90.00 and 90.00 degrees. The asymmetric unit holds Gd at (0.000, 0.000, 0.000), Pu at (0.000, 0.000, 0.500), Th at (0.250, 0.250, 0.750) and Sn at (0.250, 0.250, 0.250).

As for the raw total energy: -10.05 eV/atom. The value obtained for the density of states at the Fermi level is 2.74 states/eV/atom.



Record 3
First-principles (PBE-GGA) data for a relaxed Ba4Te8Pd3 crystal, as listed in Alexandria.

The space group is P-4m2 (No. 115) and the conventional cell measures 4.734, 4.734 and 21.601 Å, with angles of 90.00, 90.00 and 90.00 degrees. The asymmetric unit holds Ba at (0.000, 0.500, 0.118), Ba at (0.000, 0.500, 0.626), Te at (0.000, 0.000, 0.247), Te at (0.000, 0.500, 0.436), Te at (0.000, 0.500, 0.941), Te at (0.500, 0.500, 0.247), Pd at (0.000, 0.000, 0.000), Pd at (0.000, 0.000, 0.500) and Pd at (0.500, 0.500, 0.500).

As for the raw total energy: -4.22 eV/atom. The value obtained for the density of states at the Fermi level is 0.70 states/eV/atom.



Record 4
First-principles (PBE-GGA) data for a relaxed Pm2Er3Ni2 crystal, as listed in Alexandria.

The space group is C2/m (No. 12) and the conventional cell measures 12.265, 3.591 and 9.020 Å, with angles of 90.00, 117.07 and 90.00 degrees. The asymmetric unit holds Pm at (0.165, 0.000, 0.310), Er at (0.000, 0.500, 0.500), Er at (0.117, 0.500, 0.933) and Ni at (0.169, 0.000, 0.740).

As for the raw total energy: -5.22 eV/atom. The value obtained for the density of states at the Fermi level is 1.27 states/eV/atom.



Record 5
First-principles (PBE-GGA) data for a relaxed Tb3AlAg3Se8 crystal, as listed in Alexandria.

The space group is C2/m (No. 12) and the conventional cell measures 13.715, 8.229 and 8.019 Å, with angles of 90.00, 123.42 and 90.00 degrees. The asymmetric unit holds Tb at (0.000, 0.000, 0.000), Tb at (0.250, 0.250, 0.500), Al at (0.000, 0.500, 0.000), Ag at (0.000, 0.500, 0.500), Ag at (0.250, 0.250, 0.000), Se at (0.002, 0.273, 0.772), Se at (0.229, 0.500, 0.225) and Se at (0.248, 0.000, 0.253).

As for the raw total energy: -4.63 eV/atom. The value obtained for the density of states at the Fermi level is 0.49 states/eV/atom.



Record 6
First-principles (PBE-GGA) data for a relaxed CuPbSeO5 crystal, as listed in Alexandria.

The space group is C2/c (No. 15) and the conventional cell measures 8.871, 8.895 and 8.565 Å, with angles of 90.00, 119.60 and 90.00 degrees. The asymmetric unit holds Cu at (0.000, 0.192, 0.250), Pb at (0.000, 0.500, 0.000), Se at (0.000, 0.120, 0.750), O at (0.000, 0.393, 0.250), O at (0.006, 0.223, 0.915) and O at (0.163, 0.012, 0.330).

As for the raw total energy: -5.19 eV/atom. The value obtained for the density of states at the Fermi level is 0.41 states/eV/atom.



Record 7
First-principles (PBE-GGA) data for a relaxed HgMoAs2 crystal, as listed in Alexandria.

The space group is Cmmm (No. 65) and the conventional cell measures 3.535, 4.801 and 10.330 Å, with angles of 90.00, 90.00 and 90.00 degrees. The asymmetric unit holds Hg at (0.000, 0.000, 0.000), Mo at (0.000, 0.000, 0.500) and As at (0.000, 0.500, 0.319).

As for the raw total energy: -4.97 eV/atom. The value obtained for the density of states at the Fermi level is 0.72 states/eV/atom.



Record 8
First-principles (PBE-GGA) data for a relaxed LaScCd crystal, as listed in Alexandria.

The space group is Cmcm (No. 63) and the conventional cell measures 5.392, 9.328 and 6.742 Å, with angles of 90.00, 90.00 and 90.00 degrees. The asymmetric unit holds La at (0.000, 0.166, 0.250), Sc at (0.000, 0.500, 0.000) and Cd at (0.000, 0.167, 0.750).

As for the excess energy over the best structure of this formula in the dataset: 15 meV per atom. As for the raw total energy: -4.22 eV/atom. The value obtained for the density of states at the Fermi level is 0.35 states/eV/atom.



Record 9
First-principles (PBE-GGA) data for a relaxed Ba2CdAgN crystal, as listed in Alexandria.

The space group is P4/mmm (No. 123) and the conventional cell measures 5.786, 5.786 and 4.320 Å, with angles of 90.00, 90.00 and 90.00 degrees. The asymmetric unit holds Ba at (0.000, 0.500, 0.000), Cd at (0.000, 0.000, 0.500), Ag at (0.500, 0.500, 0.500) and N at (0.500, 0.500, 0.000).

As for the excess energy over the best structure of this formula in the dataset: 0 meV per atom. As for the raw total energy: -3.31 eV/atom. The value obtained for the density of states at the Fermi level is 0.67 states/eV/atom.



Record 10
First-principles (PBE-GGA) data for a relaxed RbIn3O crystal, as listed in Alexandria.

The space group is Pm-3m (No. 221) and the conventional cell measures 5.227, 5.227 and 5.227 Å, with angles of 90.00, 90.00 and 90.00 degrees. The asymmetric unit holds Rb at (0.000, 0.000, 0.000), In at (0.000, 0.500, 0.500) and O at (0.500, 0.500, 0.500).

As for the excess energy over the best structure of this formula in the dataset: 0 meV per atom. As for the raw total energy: -2.97 eV/atom. The value obtained for the density of states at the Fermi level is 0.48 states/eV/atom.



Record 11
First-principles (PBE-GGA) data for a relaxed AlNi2W crystal, as listed in Alexandria.

The space group is R3m (No. 160, hexagonal axes) and the conventional cell measures 2.7336, 2.7336 and 24.9043 Å, with angles of 90.00, 90.00 and 120.00 degrees. The asymmetric unit holds Al at (0.0000, 0.0000, 0.0000), Ni at (0.0000, 0.0000, 0.2559), Ni at (0.0000, 0.0000, 0.5096) and W at (0.0000, 0.0000, 0.7592).

As for the raw total energy: -7.04 eV/atom. The value obtained for the density of states at the Fermi level is 1.10 states/eV/atom.



Record 12
First-principles (PBE-GGA) data for a relaxed Zn4CoCl crystal, as listed in Alexandria.

The space group is F-43m (No. 216) and the conventional cell measures 7.320, 7.320 and 7.320 Å, with angles of 90.00, 90.00 and 90.00 degrees. The asymmetric unit holds Zn at (0.124, 0.124, 0.124), Co at (0.250, 0.250, 0.750) and Cl at (0.000, 0.000, 0.500).

As for the raw total energy: -1.97 eV/atom. The value obtained for the density of states at the Fermi level is 0.65 states/eV/atom.



Record 13
First-principles (PBE-GGA) data for a relaxed PIrSe2Br crystal, as listed in Alexandria.

The space group is P4/mmm (No. 123) and the conventional cell measures 4.880, 4.880 and 4.982 Å, with angles of 90.00, 90.00 and 90.00 degrees. The asymmetric unit holds P at (0.000, 0.000, 0.000), Ir at (0.500, 0.500, 0.500), Se at (0.000, 0.500, 0.500) and Br at (0.500, 0.500, 0.000).

As for the excess energy over the best structure of this formula in the dataset: 0 meV per atom. As for the raw total energy: -3.75 eV/atom. The value obtained for the density of states at the Fermi level is 0.78 states/eV/atom.



Record 14
First-principles (PBE-GGA) data for a relaxed BePd crystal, as listed in Alexandria.

The space group is Fddd (No. 70, origin choice 2) and the conventional cell measures 5.868, 7.178 and 9.033 Å, with angles of 90.00, 90.00 and 90.00 degrees. The asymmetric unit holds Be at (0.063, 0.375, 0.375) and Pd at (0.125, 0.326, 0.625).

As for the raw total energy: -4.83 eV/atom. The value obtained for the density of states at the Fermi level is 0.25 states/eV/atom.



Record 15
First-principles (PBE-GGA) data for a relaxed SmDyTlCo crystal, as listed in Alexandria.

The space group is F-43m (No. 216) and the conventional cell measures 7.303, 7.303 and 7.303 Å, with angles of 90.00, 90.00 and 90.00 degrees. The asymmetric unit holds Sm at (0.000, 0.000, 0.000), Dy at (0.000, 0.000, 0.500), Tl at (0.250, 0.250, 0.250) and Co at (0.250, 0.250, 0.750).

As for the raw total energy: -4.79 eV/atom. The value obtained for the density of states at the Fermi level is 0.57 states/eV/atom.



Record 16
First-principles (PBE-GGA) data for a relaxed Pr3HfS6 crystal, as listed in Alexandria.

The space group is Fmmm (No. 69) and the conventional cell measures 8.204, 10.260 and 12.887 Å, with angles of 90.00, 90.00 and 90.00 degrees. The asymmetric unit holds Pr at (0.000, 0.000, 0.000), Pr at (0.250, 0.250, 0.250), Hf at (0.000, 0.000, 0.500), S at (0.000, 0.239, 0.500) and S at (0.225, 0.000, 0.363).

As for the raw total energy: -6.41 eV/atom. The value obtained for the density of states at the Fermi level is 0.19 states/eV/atom.



Record 17
First-principles (PBE-GGA) data for a relaxed NpCuAs crystal, as listed in Alexandria.

The space group is Fmmm (No. 69) and the conventional cell measures 4.794, 7.493 and 11.683 Å, with angles of 90.00, 90.00 and 90.00 degrees. The asymmetric unit holds Np at (0.000, 0.163, 0.000), Cu at (0.250, 0.250, 0.250) and As at (0.000, 0.000, 0.365).

As for the raw total energy: -7.25 eV/atom. The value obtained for the density of states at the Fermi level is 1.24 states/eV/atom.



Record 18
First-principles (PBE-GGA) data for a relaxed Cd2Ni2Ge crystal, as listed in Alexandria.

The space group is P4/mbm (No. 127) and the conventional cell measures 6.159, 6.159 and 4.261 Å, with angles of 90.00, 90.00 and 90.00 degrees. The asymmetric unit holds Cd at (0.163, 0.337, 0.000), Ni at (0.146, 0.646, 0.500) and Ge at (0.000, 0.000, 0.500).

As for the raw total energy: -3.66 eV/atom. The value obtained for the density of states at the Fermi level is 0.45 states/eV/atom.



Record 19
First-principles (PBE-GGA) data for a relaxed CsAcPd4O6 crystal, as listed in Alexandria.

The space group is P6/mmm (No. 191) and the conventional cell measures 5.3721, 5.3721 and 7.9948 Å, with angles of 90.00, 90.00 and 120.00 degrees. The asymmetric unit holds Cs at (0.0000, 0.0000, 0.0000), Ac at (0.0000, 0.0000, 0.5000), Pd at (0.3333, 0.6667, 0.1711) and O at (0.0000, 0.5000, 0.3358).

As for the raw total energy: -5.00 eV/atom. The value obtained for the density of states at the Fermi level is 0.94 states/eV/atom.